! La2YSc, relaxed, DFT PBE; values from VASP
&SYSTEM
  ibrav = 0, nat = 4, ntyp = 3
/
ATOMIC_SPECIES
La 138.91 La.upf
Y 88.91 Y.upf
Sc 44.96 Sc.upf
CELL_PARAMETERS angstrom
-2.051 -2.857 -0.944
1.378 -1.908 2.779
-7.197 3.251 5.800
ATOMIC_POSITIONS crystal
La 0.000 0.000 0.002
La 0.500 0.500 0.265
Y 0.500 0.500 0.727
Sc 0.000 0.000 0.505
! ρ ... 5.3 g/cm3
! Formation enthalpy at 0 K ... 0.057 eV per atom
! Symmetry ... P4mm
! VASP energy ... -0.2060 hartree per atom
! Density of states at the Fermi level ... 7.72 states/eV/cell